P.
Pr3Y2Sc: relaxed, PBE.

Computed properties:
The calculation puts the density of states at the Fermi level at 17.94 states/eV/cell. The value obtained for the total magnetization is 0.0 μB per cell.

Cell lengths 6.234, 8.007, 8.822 Å; angles 68.29, 89.92, 74.80 degrees
Element x y z (fractional)
Pr 0.040 0.138 0.284
Pr 0.292 0.876 0.042
Pr 0.373 0.126 0.627
Pr 0.627 0.874 0.373
Pr 0.708 0.124 0.958
Pr 0.960 0.862 0.716
Y 0.206 0.620 0.461
Y 0.450 0.385 0.203
Y 0.550 0.615 0.797
Y 0.794 0.380 0.539
Sc 0.123 0.380 0.876
Sc 0.877 0.620 0.124



Q.
Pr3Y2Sc: relaxed, PBE.

Computed properties:
The calculation puts the density of states at the Fermi level at 22.80 states/eV/cell. The value obtained for the total magnetization is 0.0 μB per cell.

Cell lengths 8.109, 8.109, 6.466 Å; angles 90.00, 90.00, 108.55 degrees
Element x y z (fractional)
Pr 0.078 0.922 0.500
Pr 0.247 0.395 0.248
Pr 0.395 0.247 0.748
Pr 0.605 0.753 0.248
Pr 0.753 0.605 0.748
Pr 0.922 0.078 0.000
Y 0.131 0.502 0.731
Y 0.498 0.869 0.731
Y 0.502 0.131 0.231
Y 0.869 0.498 0.231
Sc 0.182 0.818 0.033
Sc 0.818 0.182 0.533



Short version: Q is the least stable of them.



P.
Pr7Y2Sc2: relaxed, PBE.

Computed properties:
The calculation puts the density of states at the Fermi level at 14.90 states/eV/cell. The value obtained for the total magnetization is 0.0 μB per cell.

Cell lengths 8.033, 8.033, 6.151 Å; angles 104.28, 104.28, 92.98 degrees
Element x y z (fractional)
Pr 0.000 0.000 0.000
Pr 0.054 0.582 0.809
Pr 0.418 0.946 0.191
Pr 0.425 0.425 0.206
Pr 0.575 0.575 0.794
Pr 0.582 0.054 0.809
Pr 0.946 0.418 0.191
Y 0.211 0.211 0.588
Y 0.789 0.789 0.412
Sc 0.224 0.776 0.500
Sc 0.776 0.224 0.500



Q.
Pr7Y2Sc2: relaxed, PBE.

Computed properties:
The calculation puts the density of states at the Fermi level at 16.84 states/eV/cell. The value obtained for the total magnetization is 0.0 μB per cell.

Cell lengths 6.923, 6.923, 8.257 Å; angles 97.68, 97.68, 104.34 degrees
Element x y z (fractional)
Pr 0.000 0.000 0.000
Pr 0.079 0.516 0.819
Pr 0.203 0.203 0.485
Pr 0.484 0.921 0.181
Pr 0.516 0.079 0.819
Pr 0.797 0.797 0.515
Pr 0.921 0.484 0.181
Y 0.423 0.423 0.182
Y 0.577 0.577 0.818
Sc 0.289 0.711 0.500
Sc 0.711 0.289 0.500



Short version: P is the least stable of them.



P.
PrYScZn: relaxed, PBE.

Computed properties:
The calculation puts the density of states at the Fermi level at 4.72 states/eV/cell. The value obtained for the total magnetization is 0.1 μB per cell.

Cell lengths 5.307, 5.307, 5.307 Å; angles 60.00, 60.00, 60.00 degrees
Element x y z (fractional)
Pr 0.000 0.000 0.000
Y 0.500 0.500 0.500
Sc 0.250 0.250 0.250
Zn 0.750 0.750 0.750



Q.
PrYScZn: relaxed, PBE.

Computed properties:
The calculation puts the density of states at the Fermi level at 4.35 states/eV/cell. The value obtained for the total magnetization is 0.0 μB per cell.

Cell lengths 3.506, 3.506, 8.612 Å; angles 90.00, 90.00, 90.00 degrees
Element x y z (fractional)
Pr 0.000 0.000 0.000
Y 0.500 0.500 0.683
Sc 0.500 0.500 0.288
Zn 0.000 0.000 0.461



Short version: P is the least stable of them.



P.
PrScZn2: relaxed, PBE.

Computed properties:
The calculation puts the density of states at the Fermi level at 4.63 states/eV/cell. The value obtained for the total magnetization is 0.0 μB per cell.

Cell lengths 5.020, 5.020, 5.020 Å; angles 60.00, 60.00, 60.00 degrees
Element x y z (fractional)
Pr 0.000 0.000 0.000
Sc 0.500 0.500 0.500
Zn 0.250 0.250 0.250
Zn 0.750 0.750 0.750



Q.
PrScZn2: relaxed, PBE.

Computed properties:
The calculation puts the density of states at the Fermi level at 4.13 states/eV/cell. The value obtained for the total magnetization is 0.0 μB per cell.

Cell lengths 3.488, 3.488, 7.242 Å; angles 90.00, 90.00, 90.00 degrees
Element x y z (fractional)
Pr 0.000 0.000 0.000
Sc 0.000 0.000 0.500
Zn 0.500 0.500 0.292
Zn 0.500 0.500 0.708



Short version: P is the least stable of them.



P.
PrScZn: relaxed, PBE.

Computed properties:
The calculation puts the density of states at the Fermi level at 5.03 states/eV/cell. The value obtained for the total magnetization is 0.1 μB per cell.

Cell lengths 4.862, 4.862, 3.781 Å; angles 90.00, 90.00, 120.00 degrees
Element x y z (fractional)
Pr 0.000 0.000 0.000
Sc 0.333 0.667 0.500
Zn 0.667 0.333 0.500



Q.
PrScZn: relaxed, PBE.

Computed properties:
The calculation puts the density of states at the Fermi level at 3.47 states/eV/cell. The value obtained for the total magnetization is 0.0 μB per cell.

Cell lengths 6.524, 6.524, 6.524 Å; angles 148.63, 148.63, 44.96 degrees
Element x y z (fractional)
Pr 0.000 0.000 0.000
Sc 0.290 0.290 0.000
Zn 0.675 0.675 0.000



Short version: P is the least stable of them.



P.
PrScZn4: relaxed, PBE.

Computed properties:
The calculation puts the density of states at the Fermi level at 2.56 states/eV/cell. The value obtained for the total magnetization is 0.0 μB per cell.

Cell lengths 5.441, 5.441, 5.441 Å; angles 60.00, 60.00, 60.00 degrees
Element x y z (fractional)
Pr 0.000 0.000 0.000
Sc 0.750 0.750 0.750
Zn 0.376 0.376 0.376
Zn 0.376 0.376 0.873
Zn 0.376 0.873 0.376
Zn 0.873 0.376 0.376



Q.
PrScZn4: relaxed, PBE.

Computed properties:
The calculation puts the density of states at the Fermi level at 7.07 states/eV/cell. The value obtained for the total magnetization is 0.0 μB per cell.

Cell lengths 4.411, 4.411, 7.167 Å; angles 90.00, 90.00, 120.00 degrees
Element x y z (fractional)
Pr 0.000 0.000 0.000
Sc 0.000 0.000 0.500
Zn 0.333 0.667 0.295
Zn 0.333 0.667 0.705
Zn 0.667 0.333 0.295
Zn 0.667 0.333 0.705



Short version: P is the least stable of them.